Entry 1:
The following is a PBE calculation of a geometry-optimized ThAlGa2Cu2 structure, from Alexandria via LeMat-Bulk.

Lattice parameters (Å, degrees): 4.2109 4.2109 6.9296 90.00 90.00 120.00
Space group P-3m1 (No. 164)
Symmetry-distinct sites (fractional):
Th: 0.0000 0.0000 0.0000 (multiplicity 1)
Al: 0.0000 0.0000 0.5000 (multiplicity 1)
Ga: 0.3333 0.6667 0.7261 (multiplicity 2)
Cu: 0.3333 0.6667 0.3322 (multiplicity 2)

Properties
Formation enthalpy at 0 K, eV/atom: -0.370
N(E_F), states/eV/atom: 0.40

---

Entry 2:
The following is a PBE calculation of a geometry-optimized NaSbRu2 structure, from Alexandria via LeMat-Bulk.

Lattice parameters (Å, degrees): 7.6113 7.6113 5.4929 90.00 90.00 90.00
Space group I-42d (No. 122)
Symmetry-distinct sites (fractional):
Na: 0.0000 0.0000 0.0000 (multiplicity 4)
Sb: 0.0000 0.0000 0.5000 (multiplicity 4)
Ru: 0.2010 0.2500 0.6250 (multiplicity 8)

Properties
Formation energy without anion corrections, meV per atom: 749
N(E_F), states/eV/atom: 1.29

---

Entry 3:
The following is a PBE calculation of a geometry-optimized CuAsPdO6 structure, from Alexandria via LeMat-Bulk.

Lattice parameters (Å, degrees): 5.0153 5.0153 8.7099 90.00 90.00 120.00
Space group P-31c (No. 163)
Symmetry-distinct sites (fractional):
Cu: 0.0000 0.0000 0.0000 (multiplicity 2)
As: 0.3333 0.6667 0.2500 (multiplicity 2)
Pd: 0.3333 0.6667 0.7500 (multiplicity 2)
O: 0.0201 0.3626 0.1294 (multiplicity 12)

Properties
Formation energy without anion corrections, meV per atom: -590
N(E_F), states/eV/atom: 0.72

---

Entry 4:
The following is a PBE calculation of a geometry-optimized InRu2Se structure, from Alexandria via LeMat-Bulk.

Lattice parameters (Å, degrees): 8.2492 3.0411 5.5120 90.00 101.96 90.00
Space group C2/m (No. 12)
Symmetry-distinct sites (fractional):
In: 0.0000 0.0000 0.0000 (multiplicity 2)
Ru: 0.2494 0.0000 0.7047 (multiplicity 4)
Se: 0.0000 0.5000 0.5000 (multiplicity 2)

Properties
ΔE to the lowest computed polymorph, meV/atom: 54
Formation energy without anion corrections, meV per atom: 191
N(E_F), states/eV/atom: 0.69

---

Entry 5:
The following is a PBE calculation of a geometry-optimized LiNd6Ni2 structure, from Alexandria via LeMat-Bulk.

Lattice parameters (Å, degrees): 9.5614 10.0598 10.4033 90.00 90.00 90.00
Space group Immm (No. 71)
Symmetry-distinct sites (fractional):
Li: 0.0000 0.0000 0.0000 (multiplicity 2)
Li: 0.0000 0.0000 0.5000 (multiplicity 2)
Nd: 0.0000 0.1991 0.2265 (multiplicity 8)
Nd: 0.1902 0.5000 0.1782 (multiplicity 8)
Nd: 0.2072 0.3202 0.5000 (multiplicity 8)
Ni: 0.0000 0.3483 0.0000 (multiplicity 4)
Ni: 0.0000 0.5000 0.3781 (multiplicity 4)

Properties
Formation enthalpy at 0 K, eV/atom: -0.128
N(E_F), states/eV/atom: 1.09

---

Entry 6:
The following is a PBE calculation of a geometry-optimized SnHg2Cl structure, from Alexandria via LeMat-Bulk.

Lattice parameters (Å, degrees): 6.6368 6.6368 13.3384 90.00 90.00 90.00
Space group I-42d (No. 122)
Symmetry-distinct sites (fractional):
Sn: 0.0000 0.0000 0.0000 (multiplicity 4)
Hg: 0.2340 0.2500 0.1250 (multiplicity 8)
Cl: 0.0000 0.0000 0.5000 (multiplicity 4)

Properties
ΔE to the lowest computed polymorph, meV/atom: 48
Formation energy without anion corrections, meV per atom: -98
N(E_F), states/eV/atom: 0.81

---

Entry 7:
The following is a PBE calculation of a geometry-optimized MnB2W2 structure, from Alexandria via LeMat-Bulk.

Lattice parameters (Å, degrees): 3.6225 3.6225 9.2571 90.00 90.00 90.00
Space group I4/mmm (No. 139)
Symmetry-distinct sites (fractional):
Mn: 0.0000 0.0000 0.0000 (multiplicity 2)
B: 0.0000 0.0000 0.4131 (multiplicity 4)
W: 0.0000 0.5000 0.2500 (multiplicity 4)

Properties
Formation enthalpy at 0 K, eV/atom: 0.549
N(E_F), states/eV/atom: 1.57

---

Entry 8:
The following is a PBE calculation of a geometry-optimized VSnMoOs structure, from Alexandria via LeMat-Bulk.

Lattice parameters (Å, degrees): 6.3266 6.3266 6.3266 90.00 90.00 90.00
Space group F-43m (No. 216)
Symmetry-distinct sites (fractional):
V: 0.0000 0.0000 0.0000 (multiplicity 4)
Sn: 0.0000 0.0000 0.5000 (multiplicity 4)
Mo: 0.2500 0.2500 0.2500 (multiplicity 4)
Os: 0.2500 0.2500 0.7500 (multiplicity 4)

Properties
Formation enthalpy at 0 K, eV/atom: 0.094
N(E_F), states/eV/atom: 0.60

---

Entry 9:
The following is a PBE calculation of a geometry-optimized Cd9Ag11Hg4 structure, from Alexandria via LeMat-Bulk.

Lattice parameters (Å, degrees): 14.1881 22.4157 3.0383 90.00 90.00 90.00
Space group Cmmm (No. 65)
Symmetry-distinct sites (fractional):
Cd: 0.0000 0.0000 0.0000 (multiplicity 2)
Cd: 0.1067 0.4035 0.0000 (multiplicity 8)
Cd: 0.1082 0.2151 0.0000 (multiplicity 8)
Ag: 0.0000 0.1168 0.5000 (multiplicity 4)
Ag: 0.0000 0.3092 0.5000 (multiplicity 4)
Ag: 0.0000 0.5000 0.5000 (multiplicity 2)
Ag: 0.2043 0.5000 0.5000 (multiplicity 4)
Ag: 0.2108 0.3098 0.5000 (multiplicity 8)
Hg: 0.1773 0.0853 0.0000 (multiplicity 8)

Properties
Formation enthalpy at 0 K, eV/atom: -0.016
N(E_F), states/eV/atom: 0.27

---

Entry 10:
The following is a PBE calculation of a geometry-optimized NaTlGe2Se6 structure, from Alexandria via LeMat-Bulk.

Lattice parameters (Å, degrees): 14.0384 13.5028 6.8689 90.00 114.53 90.00
Space group C2/c (No. 15)
Symmetry-distinct sites (fractional):
Na: 0.0000 0.1360 0.2500 (multiplicity 4)
Tl: 0.0000 0.3145 0.7500 (multiplicity 4)
Ge: 0.2187 0.0843 0.7927 (multiplicity 8)
Se: 0.1002 0.4294 0.1097 (multiplicity 8)
Se: 0.1344 0.0469 0.0285 (multiplicity 8)
Se: 0.1489 0.2402 0.6317 (multiplicity 8)

Properties
Formation energy without anion corrections, meV per atom: -361

---

Entry 11:
The following is a PBE calculation of a geometry-optimized PtAu8 structure, from Alexandria via LeMat-Bulk.

Lattice parameters (Å, degrees): 10.4167 10.4167 2.9691 90.00 90.00 90.00
Space group I4/mmm (No. 139)
Symmetry-distinct sites (fractional):
Pt: 0.0000 0.0000 0.0000 (multiplicity 2)
Au: 0.0000 0.3331 0.0000 (multiplicity 8)
Au: 0.1648 0.1648 0.5000 (multiplicity 8)

Properties
Formation enthalpy at 0 K, eV/atom: 0.024
ΔE to the lowest computed polymorph, meV/atom: 14
N(E_F), states/eV/atom: 0.24

---

Entry 12:
The following is a PBE calculation of a geometry-optimized BaLi3Cd3 structure, from Alexandria via LeMat-Bulk.

Lattice parameters (Å, degrees): 7.3947 7.3947 7.3947 90.00 90.00 90.00
Space group Pm-3n (No. 223)
Symmetry-distinct sites (fractional):
Ba: 0.0000 0.0000 0.0000 (multiplicity 2)
Li: 0.0000 0.2500 0.5000 (multiplicity 6)
Cd: 0.0000 0.5000 0.2500 (multiplicity 6)

Properties
Formation enthalpy at 0 K, eV/atom: -0.010
N(E_F), states/eV/atom: 0.86

---

Entry 13:
The following is a PBE calculation of a geometry-optimized Nd2Si2HRu2 structure, from Alexandria via LeMat-Bulk.

Lattice parameters (Å, degrees): 10.8450 4.1350 7.1501 90.00 129.73 90.00
Space group C2/m (No. 12)
Symmetry-distinct sites (fractional):
Nd: 0.0640 0.0000 0.3054 (multiplicity 4)
Si: 0.1640 0.5000 0.7252 (multiplicity 4)
H: 0.0000 0.5000 0.0000 (multiplicity 2)
Ru: 0.2020 0.5000 0.1011 (multiplicity 4)

Properties
N(E_F), states/eV/atom: 0.45

---

Entry 14:
The following is a PBE calculation of a geometry-optimized MnAl2Zn structure, from Alexandria via LeMat-Bulk.

Lattice parameters (Å, degrees): 6.1472 6.1472 6.1472 90.00 90.00 90.00
Space group F-43m (No. 216)
Symmetry-distinct sites (fractional):
Mn: 0.0000 0.0000 0.0000 (multiplicity 4)
Al: 0.0000 0.0000 0.5000 (multiplicity 4)
Al: 0.2500 0.2500 0.7500 (multiplicity 4)
Zn: 0.2500 0.2500 0.2500 (multiplicity 4)

Properties
Formation enthalpy at 0 K, eV/atom: 0.128
N(E_F), states/eV/atom: 0.95

---

Entry 15:
The following is a PBE calculation of a geometry-optimized CsCoNi3 structure, from Alexandria via LeMat-Bulk.

Lattice parameters (Å, degrees): 4.7429 4.7429 4.7429 90.00 90.00 90.00
Space group Pm-3m (No. 221)
Symmetry-distinct sites (fractional):
Cs: 0.0000 0.0000 0.0000 (multiplicity 1)
Co: 0.5000 0.5000 0.5000 (multiplicity 1)
Ni: 0.0000 0.0000 0.5000 (multiplicity 3)

Properties
Formation enthalpy at 0 K, eV/atom: 2.479
ΔE to the lowest computed polymorph, meV/atom: 1461
N(E_F), states/eV/atom: 2.37

---

Entry 16:
The following is a PBE calculation of a geometry-optimized CdAgN structure, from Alexandria via LeMat-Bulk.

Lattice parameters (Å, degrees): 4.2765 4.2437 16.2741 90.00 93.66 90.00
Space group C2/m (No. 12)
Symmetry-distinct sites (fractional):
Cd: 0.2019 0.0000 0.3035 (multiplicity 4)
Ag: 0.2347 0.5000 0.4376 (multiplicity 4)
N: 0.0080 0.5000 0.0343 (multiplicity 4)

Properties
Formation energy without anion corrections, meV per atom: 116
N(E_F), states/eV/atom: 0.17

---

Entry 17:
The following is a PBE calculation of a geometry-optimized ScZn2Os structure, from Alexandria via LeMat-Bulk.

Lattice parameters (Å, degrees): 3.8986 3.8986 8.1053 90.00 90.00 90.00
Space group I4/mmm (No. 139)
Symmetry-distinct sites (fractional):
Sc: 0.0000 0.0000 0.0000 (multiplicity 2)
Zn: 0.0000 0.5000 0.2500 (multiplicity 4)
Os: 0.0000 0.0000 0.5000 (multiplicity 2)

Properties
Formation enthalpy at 0 K, eV/atom: -0.270
ΔE to the lowest computed polymorph, meV/atom: 0
N(E_F), states/eV/atom: 0.35

---

Entry 18:
The following is a PBE calculation of a geometry-optimized LiGaBi2 structure, from Alexandria via LeMat-Bulk.

Lattice parameters (Å, degrees): 6.8993 6.8993 10.7531 90.00 90.00 90.00
Space group I-42d (No. 122)
Symmetry-distinct sites (fractional):
Li: 0.0000 0.0000 0.0000 (multiplicity 4)
Ga: 0.0000 0.0000 0.5000 (multiplicity 4)
Bi: 0.2438 0.2500 0.6250 (multiplicity 8)

Properties
Formation enthalpy at 0 K, eV/atom: 0.121
N(E_F), states/eV/atom: 0.54

---

Entry 19:
The following is a PBE calculation of a geometry-optimized CaAc3Hg2 structure, from Alexandria via LeMat-Bulk.

Lattice parameters (Å, degrees): 7.7248 15.5524 8.1843 90.00 90.00 90.00
Space group Ibam (No. 72)
Symmetry-distinct sites (fractional):
Ca: 0.0000 0.0000 0.0000 (multiplicity 4)
Ac: 0.0000 0.2301 0.2500 (multiplicity 8)
Ac: 0.0000 0.5000 0.2500 (multiplicity 4)
Hg: 0.2059 0.3631 0.0000 (multiplicity 8)

Properties
Formation enthalpy at 0 K, eV/atom: -0.173
ΔE to the lowest computed polymorph, meV/atom: 148
N(E_F), states/eV/atom: 1.23

---

Entry 20:
The following is a PBE calculation of a geometry-optimized Lu2ThCl structure, from Alexandria via LeMat-Bulk.

Lattice parameters (Å, degrees): 3.5704 3.5704 29.2622 90.00 90.00 120.00
Space group R-3m (No. 166, hexagonal axes)
Symmetry-distinct sites (fractional):
Lu: 0.0000 0.0000 0.2405 (multiplicity 6)
Th: 0.0000 0.0000 0.0000 (multiplicity 3)
Cl: 0.0000 0.0000 0.5000 (multiplicity 3)

Properties
Formation energy without anion corrections, meV per atom: -625
N(E_F), states/eV/atom: 1.27

---

| no. | calculated total energy (eV/atom) |
| --- | --- |
| 1 | -4.604 |
| 2 | -5.250 |
| 3 | -5.444 |
| 4 | -6.003 |
| 5 | -4.803 |
| 6 | -1.711 |
| 7 | -9.137 |
| 8 | -8.702 |
| 9 | -1.717 |
| 10 | -3.744 |
| 11 | -3.560 |
| 12 | -1.497 |
| 13 | -6.707 |
| 14 | -4.354 |
| 15 | -2.581 |
| 16 | -3.914 |
| 17 | -5.297 |
| 18 | -3.055 |
| 19 | -2.662 |
| 20 | -5.202 |